Entry a
{"formula": "MoHAu2", "functional": "PBE", "state": "relaxed", "m_tot_mub_per_atom": 0.52, "sg": "Fm-3m (225)", "vol_a3_per_fu": 63.4, "lattice": [[0.0000, 3.1646, 3.1646], [3.1646, 0.0000, 3.1646], [3.1646, 3.1646, 0.0000]], "species": ["Au", "Au", "Mo", "H"], "frac_coords": [[0.7500, 0.7500, 0.7500], [0.2500, 0.2500, 0.2500], [0.5000, 0.5000, 0.5000], [0.0000, 0.0000, 0.0000]]}

***

Entry b
{"formula": "MoHAu2", "functional": "PBE", "state": "relaxed", "m_tot_mub_per_atom": 0.40, "sg": "I-42d (122)", "vol_a3_per_fu": 57.6, "lattice": [[-4.0989, 5.0500, -1.4466], [-5.1837, -4.1857, 0.0756], [-4.9731, 0.8889, 1.8493]], "species": ["Mo", "Mo", "Au", "Au", "Au", "Au", "H", "H"], "frac_coords": [[0.0000, 0.0000, 0.0000], [0.7500, 0.2500, 0.5000], [0.5356, 0.1250, 0.2500], [0.8750, 0.7856, 0.7500], [0.2144, 0.6250, 0.2500], [0.3750, 0.4644, 0.7500], [0.5000, 0.5000, 0.0000], [0.2500, 0.7500, 0.5000]]}

***

Order of stability, best first: entry b, entry a

***

Entry a
{"formula": "HAu2N", "functional": "PBE", "state": "relaxed", "m_tot_mub_per_atom": 0.00, "sg": "I-42d (122)", "vol_a3_per_fu": 52.7, "lattice": [[4.6946, 0.0000, 0.0000], [0.0000, 4.6946, 0.0000], [2.3473, 2.3473, 4.7783]], "species": ["H", "H", "Au", "Au", "Au", "Au", "N", "N"], "frac_coords": [[0.5000, 0.5000, 0.0000], [0.2500, 0.7500, 0.5000], [0.1701, 0.6250, 0.2500], [0.8750, 0.8299, 0.7500], [0.3750, 0.4201, 0.7500], [0.5799, 0.1250, 0.2500], [0.0000, 0.0000, 0.0000], [0.7500, 0.2500, 0.5000]]}

***

Entry b
{"formula": "HAu2N", "functional": "PBE", "state": "relaxed", "m_tot_mub_per_atom": 0.00, "sg": "Fm-3m (225)", "vol_a3_per_fu": 48.6, "lattice": [[1.7599, -3.2821, 1.7067], [-0.4308, -0.7008, 4.0132], [-2.3131, -3.1223, 1.2974]], "species": ["Au", "Au", "N", "H"], "frac_coords": [[0.2500, 0.2500, 0.2500], [0.7500, 0.7500, 0.7500], [0.5000, 0.5000, 0.5000], [0.0000, 0.0000, 0.0000]]}

***

Order of stability, best first: entry a, entry b